# 1
VASP calculation (PBE-GGA) on a relaxed structure of NaZnCd4.

Electronic total energy   -1.0810 eV/atom
Formation enthalpy at 0 K   -0.04 eV per atom

abc: 8.6198 4.3477 7.4619
angles: 90.00 90.00 90.00
Space group Pmma (No. 51)
Unique sites:
Na 0.2500 0.0000 0.1129
Zn 0.2500 0.0000 0.7172
Cd 0.0000 0.0000 0.5000
Cd 0.0527 0.5000 0.8125
Cd 0.2500 0.5000 0.4275

---

# 2
VASP calculation (PBE-GGA) on a relaxed structure of NaZnCd.

Electronic total energy   -1.0754 eV/atom
Formation enthalpy at 0 K   0.09 eV per atom

abc: 6.7334 6.7334 6.7334
angles: 90.00 90.00 90.00
Space group F-43m (No. 216)
Unique sites:
Na 0.0000 0.0000 0.0000
Zn 0.2500 0.2500 0.7500
Cd 0.0000 0.0000 0.5000

---

# 3
VASP calculation (PBE-GGA) on a relaxed structure of NaZnCd2.

Electronic total energy   -1.0952 eV/atom
Formation enthalpy at 0 K   0.01 eV per atom

abc: 3.5711 3.5711 7.0291
angles: 90.00 90.00 90.00
Space group P4/mmm (No. 123)
Unique sites:
Na 0.0000 0.0000 0.0000
Zn 0.0000 0.0000 0.5000
Cd 0.5000 0.5000 0.2806

---

# 4
VASP calculation (PBE-GGA) on a relaxed structure of Na17ZnCd11.

Electronic total energy   -1.2337 eV/atom
Formation enthalpy at 0 K   -0.07 eV per atom

abc: 11.6590 16.5232 10.0934
angles: 90.00 125.20 90.00
Space group Cm (No. 8)
Unique sites:
Na 0.0000 0.0000 0.0000
Na 0.0018 0.0000 0.6527
Na 0.0180 0.2964 0.3150
Na 0.0481 0.3612 0.9997
Na 0.0937 0.5000 0.2808
Na 0.2039 0.2036 0.6865
Na 0.3202 0.0000 0.7240
Na 0.3255 0.3261 0.0001
Na 0.3430 0.3434 0.4082
Na 0.3483 0.0000 0.3481
Na 0.4380 0.1550 0.5955
Zn 0.1482 0.5000 0.8252
Cd 0.0901 0.0913 0.3622
Cd 0.1810 0.1809 0.1847
Cd 0.2274 0.4091 0.6442
Cd 0.2737 0.0892 0.0001
Cd 0.3094 0.5000 0.1636
Cd 0.4956 0.3193 0.8151

---

# 5
VASP calculation (PBE-GGA) on a relaxed structure of Na3ZnCd8.

Electronic total energy   -1.0781 eV/atom
Formation enthalpy at 0 K   -0.03 eV per atom

abc: 5.8779 5.8779 29.7484
angles: 90.00 90.00 120.00
Space group R3m (No. 160, hexagonal axes)
Unique sites:
Na 0.0000 0.0000 0.0000
Na 0.0000 0.0000 0.1266
Na 0.0000 0.0000 0.6225
Zn 0.0000 0.0000 0.4950
Cd 0.0000 0.0000 0.3121
Cd 0.0000 0.0000 0.8120
Cd 0.9998 0.4999 0.0623
Cd 0.9999 0.4999 0.5618

---

# 6
VASP calculation (PBE-GGA) on a relaxed structure of NaZn2Cd5.

Electronic total energy   -1.0520 eV/atom
Formation enthalpy at 0 K   0.00 eV per atom

abc: 4.3772 8.2403 10.3034
angles: 90.00 90.00 90.00
Space group Immm (No. 71)
Unique sites:
Na 0.0000 0.0000 0.0000
Zn 0.0000 0.5000 0.2707
Cd 0.0000 0.1876 0.3470
Cd 0.0000 0.5000 0.0000

---

# 7
VASP calculation (PBE-GGA) on a relaxed structure of NaZnCd11.

Electronic total energy   -0.9802 eV/atom
Formation enthalpy at 0 K   -0.01 eV per atom

abc: 5.8972 14.2809 7.6781
angles: 90.00 111.96 90.00
Space group C2/m (No. 12)
Unique sites:
Na 0.0000 0.0000 0.0000
Zn 0.0000 0.0000 0.5000
Cd 0.0000 0.5000 0.5000
Cd 0.1217 0.3950 0.2169
Cd 0.1673 0.1727 0.3549
Cd 0.2500 0.2500 0.0000

---

# 8
VASP calculation (PBE-GGA) on a relaxed structure of NaZnCd.

Electronic total energy   -1.1467 eV/atom
Formation enthalpy at 0 K   0.02 eV per atom

abc: 3.5790 3.5790 10.6830
angles: 90.00 90.00 90.00
Space group I4mm (No. 107)
Unique sites:
Na 0.0000 0.0000 0.0000
Zn 0.0000 0.0000 0.3219
Cd 0.0000 0.0000 0.6922

---

# 9
VASP calculation (PBE-GGA) on a relaxed structure of Na2Zn3Cd4.

Electronic total energy   -1.1766 eV/atom
Formation enthalpy at 0 K   -0.05 eV per atom

abc: 5.3374 9.6017 14.7031
angles: 90.00 90.00 90.00
Space group Fmmm (No. 69)
Unique sites:
Na 0.0000 0.0000 0.1206
Zn 0.0000 0.0000 0.5000
Zn 0.2500 0.2500 0.0000
Cd 0.0000 0.1587 0.3289

---

# 10
VASP calculation (PBE-GGA) on a relaxed structure of Na3Zn2Cd5.

Electronic total energy   -1.0950 eV/atom
Formation enthalpy at 0 K   0.01 eV per atom

abc: 12.6857 12.7646 6.3833
angles: 90.00 90.00 90.00
Space group Ibam (No. 72)
Unique sites:
Na 0.0000 0.0000 0.2500
Na 0.1222 0.2452 0.0000
Zn 0.1518 0.1430 0.5000
Cd 0.0000 0.5000 0.2500
Cd 0.1201 0.3448 0.5000
Cd 0.2472 0.5000 0.2500

---

# 11
VASP calculation (PBE-GGA) on a relaxed structure of Na2Zn2Cd.

Electronic total energy   -1.0637 eV/atom
Formation enthalpy at 0 K   0.16 eV per atom

abc: 9.0187 9.0187 2.9403
angles: 90.00 90.00 90.00
Space group P4/mbm (No. 127)
Unique sites:
Na 0.1321 0.3679 0.0000
Zn 0.1651 0.6651 0.5000
Cd 0.0000 0.0000 0.0000

---

# 12
VASP calculation (PBE-GGA) on a relaxed structure of NaZn3Cd.

Electronic total energy   -0.8947 eV/atom
Formation enthalpy at 0 K   0.32 eV per atom

abc: 5.1205 5.1205 5.1205
angles: 90.00 90.00 90.00
Space group Pm-3m (No. 221)
Unique sites:
Na 0.0000 0.0000 0.0000
Zn 0.0000 0.5000 0.5000
Cd 0.5000 0.5000 0.5000

---

# 13
VASP calculation (PBE-GGA) on a relaxed structure of Na2Zn2Cd.

Electronic total energy   -1.0337 eV/atom
Formation enthalpy at 0 K   0.19 eV per atom

abc: 4.3566 4.3566 13.2204
angles: 90.00 90.00 90.00
Space group I4/mmm (No. 139)
Unique sites:
Na 0.0000 0.5000 0.2500
Zn 0.0000 0.0000 0.0916
Cd 0.0000 0.0000 0.5000

---

# 14
VASP calculation (PBE-GGA) on a relaxed structure of Na6ZnCd2.

Electronic total energy   -1.2425 eV/atom
Formation enthalpy at 0 K   -0.02 eV per atom

abc: 5.4836 5.4836 30.4882
angles: 90.00 90.00 120.00
Space group R-3m (No. 166, hexagonal axes)
Unique sites:
Na 0.0000 0.0000 0.0764
Na 0.0000 0.0000 0.1956
Na 0.0000 0.0000 0.3081
Zn 0.0000 0.0000 0.5000
Cd 0.0000 0.0000 0.4124

---

# 15
VASP calculation (PBE-GGA) on a relaxed structure of NaZnCd2.

Electronic total energy   -1.1508 eV/atom
Formation enthalpy at 0 K   -0.04 eV per atom

abc: 7.1753 8.9926 5.5830
angles: 90.00 100.65 90.00
Space group C2/c (No. 15)
Unique sites:
Na 0.2500 0.2500 0.0000
Zn 0.0000 0.0332 0.2500
Cd 0.1657 0.4062 0.4489

---

# 16
VASP calculation (PBE-GGA) on a relaxed structure of Na6ZnCd23.

Electronic total energy   -1.0574 eV/atom
Formation enthalpy at 0 K   -0.05 eV per atom

abc: 14.1828 14.1828 14.1828
angles: 90.00 90.00 90.00
Space group Fm-3m (No. 225)
Unique sites:
Na 0.0000 0.0000 0.2228
Zn 0.0000 0.0000 0.0000
Cd 0.0000 0.0000 0.5000
Cd 0.0000 0.2500 0.2500
Cd 0.1232 0.1232 0.3768
Cd 0.1501 0.1501 0.1501

---

# 17
VASP calculation (PBE-GGA) on a relaxed structure of NaZn3Cd9.

Electronic total energy   -1.0312 eV/atom
Formation enthalpy at 0 K   0.00 eV per atom

abc: 5.6729 14.1132 7.5534
angles: 90.00 111.94 90.00
Space group C2/m (No. 12)
Unique sites:
Na 0.0000 0.0000 0.0000
Zn 0.0000 0.0000 0.5000
Zn 0.2500 0.2500 0.0000
Cd 0.0000 0.5000 0.5000
Cd 0.1169 0.3908 0.2116
Cd 0.1680 0.1756 0.3413

---

# 18
VASP calculation (PBE-GGA) on a relaxed structure of NaZn2Cd6.

Electronic total energy   -0.9916 eV/atom
Formation enthalpy at 0 K   0.05 eV per atom

abc: 15.2392 8.4744 3.1069
angles: 90.00 98.61 90.00
Space group C2/m (No. 12)
Unique sites:
Na 0.0000 0.0000 0.0000
Zn 0.1701 0.5000 0.6726
Cd 0.0000 0.3289 0.5000
Cd 0.1692 0.1890 0.1951

---

# 19
VASP calculation (PBE-GGA) on a relaxed structure of NaZnCd4.

Electronic total energy   -1.0613 eV/atom
Formation enthalpy at 0 K   -0.02 eV per atom

abc: 14.0456 7.0320 6.1412
angles: 90.00 113.91 90.00
Space group C2/m (No. 12)
Unique sites:
Na 0.2117 0.0000 0.1148
Zn 0.0460 0.5000 0.7410
Cd 0.0000 0.2056 0.0000
Cd 0.1187 0.2059 0.5344
Cd 0.1763 0.5000 0.2411

---

# 20
VASP calculation (PBE-GGA) on a relaxed structure of NaZnCd2.

Electronic total energy   -1.1688 eV/atom
Formation enthalpy at 0 K   -0.06 eV per atom

abc: 16.3177 7.9828 5.5861
angles: 90.00 90.00 90.00
Space group Pnma (No. 62)
Unique sites:
Na 0.1097 0.2500 0.2393
Na 0.1402 0.7500 0.4499
Zn 0.0665 0.7500 0.9499
Zn 0.1845 0.2500 0.7354
Cd 0.0353 0.0598 0.7350
Cd 0.2144 0.5584 0.9356